First-principles (PBE) data for an optimized crystal structure of CsNiGe3, as listed in the Alexandria database.

Calculated values
DFT formation energy: 0.414 eV per atom
total magnetic moment: 0.00 Bohr magnetons per cell
E_tot: -3.6830 eV per atom
energy above the most stable polymorph in this dataset: 0.000 eV per atom

```
data_CsNiGe3
_symmetry_space_group_name_H-M 'P m -3 m'
_symmetry_Int_Tables_number 221
_symmetry_space_group_name_Hall '-P 4 2 3'
_cell_length_a 4.9149
_cell_length_b 4.9149
_cell_length_c 4.9149
_cell_angle_alpha 90.00
_cell_angle_beta 90.00
_cell_angle_gamma 90.00
loop_
_atom_site_label
_atom_site_type_symbol
_atom_site_fract_x
_atom_site_fract_y
_atom_site_fract_z
Cs1 Cs 0.0000 0.0000 0.0000
Ni1 Ni 0.5000 0.5000 0.5000
Ge1 Ge 0.0000 0.5000 0.5000
```